1.
PBE-GGA AcTb2Te, optimized geometry; calculated volume = 37.2 A^3/atom; polymorph energy (0 for the lowest one) = 247 meV per atom; SG = R-3m; formation energy from raw total energies = -0.318 eV/atom
1.0
3.913 0.000 0.000
-1.956 3.389 0.000
0.000 0.000 33.670
Ac Tb Te
3 6 3
direct
0.000 0.000 0.000
0.333 0.667 0.667
0.667 0.333 0.333
0.000 0.000 0.107
0.000 0.000 0.893
0.333 0.667 0.560
0.333 0.667 0.774
0.667 0.333 0.226
0.667 0.333 0.440
0.000 0.000 0.500
0.333 0.667 0.167
0.667 0.333 0.833



2.
PBE-GGA Ac3Tb4Te8, optimized geometry; calculated volume = 35.4 A^3/atom; SG = C2/m; formation energy from raw total energies = -1.401 eV/atom
1.0
6.424 -6.428 0.000
6.424 6.428 0.000
-6.298 0.000 6.427
Ac Tb Te
3 4 8
direct
0.000 0.000 0.000
0.000 0.500 0.000
0.500 0.000 0.000
0.000 0.500 0.500
0.500 0.000 0.500
0.500 0.500 0.000
0.500 0.500 0.500
0.253 0.747 0.500
0.258 0.742 0.000
0.260 0.260 0.515
0.262 0.262 0.008
0.738 0.738 0.992
0.740 0.740 0.485
0.742 0.258 0.000
0.747 0.253 0.500



3.
PBE-GGA AcTbTe2, optimized geometry; calculated volume = 33.5 A^3/atom; polymorph energy (0 for the lowest one) = 32 meV per atom; SG = R3m; formation energy from raw total energies = -1.365 eV/atom
1.0
4.344 0.000 0.000
-2.172 3.762 0.000
0.000 0.000 24.634
Ac Tb Te
3 3 6
direct
0.000 0.000 0.000
0.333 0.667 0.667
0.667 0.333 0.333
0.000 0.000 0.174
0.333 0.667 0.840
0.667 0.333 0.507
0.000 0.000 0.427
0.000 0.000 0.580
0.333 0.667 0.093
0.333 0.667 0.247
0.667 0.333 0.760
0.667 0.333 0.913



4.
PBE-GGA AcTbTe2, optimized geometry; calculated volume = 45.1 A^3/atom; polymorph energy (0 for the lowest one) = 511 meV per atom; SG = R-3m; formation energy from raw total energies = -0.886 eV/atom
1.0
4.582 0.000 0.000
-2.291 3.969 0.000
0.000 0.000 29.753
Ac Tb Te
3 3 6
direct
0.000 0.000 0.000
0.333 0.667 0.667
0.667 0.333 0.333
0.000 0.000 0.500
0.333 0.667 0.167
0.667 0.333 0.833
0.000 0.000 0.400
0.000 0.000 0.600
0.333 0.667 0.066
0.333 0.667 0.267
0.667 0.333 0.733
0.667 0.333 0.934



5.
PBE-GGA AcTbTe2, optimized geometry; calculated volume = 33.3 A^3/atom; polymorph energy (0 for the lowest one) = 0 meV per atom; SG = C2/m; formation energy from raw total energies = -1.397 eV/atom
1.0
7.719 0.000 0.000
0.000 4.476 0.000
-2.600 0.000 7.707
Ac Tb Te
2 2 4
direct
0.000 0.000 0.000
0.500 0.500 0.000
0.000 0.500 0.500
0.500 0.000 0.500
0.241 0.000 0.724
0.259 0.500 0.276
0.741 0.500 0.724
0.759 0.000 0.276



6.
PBE-GGA Ac3TbTe4, optimized geometry; calculated volume = 35.5 A^3/atom; polymorph energy (0 for the lowest one) = 0 meV per atom; SG = P2/c; formation energy from raw total energies = -1.428 eV/atom
1.0
8.178 0.000 0.000
0.000 9.225 0.000
-2.607 0.000 7.523
Ac Tb Te
6 2 8
direct
0.000 0.123 0.250
0.000 0.374 0.750
0.000 0.626 0.250
0.000 0.877 0.750
0.500 0.127 0.750
0.500 0.873 0.250
0.500 0.376 0.250
0.500 0.624 0.750
0.260 0.134 0.011
0.260 0.866 0.511
0.267 0.384 0.499
0.267 0.616 0.999
0.733 0.384 0.001
0.733 0.616 0.501
0.740 0.134 0.489
0.740 0.866 0.989



7.
PBE-GGA AcTb2Te3, optimized geometry; calculated volume = 32.1 A^3/atom; SG = P2_1/m; formation energy from raw total energies = -1.344 eV/atom
1.0
7.554 0.000 0.000
0.000 4.369 0.000
-2.494 0.000 11.687
Ac Tb Te
2 4 6
direct
0.025 0.250 0.329
0.975 0.750 0.671
0.247 0.250 0.988
0.472 0.250 0.676
0.528 0.750 0.324
0.753 0.750 0.012
0.150 0.750 0.150
0.277 0.750 0.504
0.382 0.750 0.843
0.618 0.250 0.157
0.723 0.250 0.496
0.850 0.250 0.850



8.
PBE-GGA AcTbTe2, optimized geometry; calculated volume = 30.4 A^3/atom; polymorph energy (0 for the lowest one) = 134 meV per atom; SG = P4/mmm; formation energy from raw total energies = -1.263 eV/atom
1.0
3.924 0.000 0.000
0.000 3.924 0.000
0.000 0.000 7.894
Ac Tb Te
1 1 2
direct
0.000 0.000 0.000
0.000 0.000 0.500
0.500 0.500 0.268
0.500 0.500 0.732